(1)
## LaMg10Pd2 (PBE)

Data for LaMg10Pd2 after structural relaxation.

The calculated formation energy comes out at -0.2777 eV per atom. The value obtained for the density of states at the Fermi level is 0.54 states/eV/atom. For the total magnetization, the calculation gives 0.00 Bohr magnetons per cell.

The structure belongs to space group Fmmm (No. 69); the cell edges are 5.734, 13.785 and 14.578 Å and the angles 90.00°, 90.00° and 90.00°. The distinct sites, in fractional coordinates, are La at (0.000, 0.000, 0.000), Mg at (0.000, 0.103, 0.382), Mg at (0.000, 0.160, 0.181), Mg at (0.250, 0.250, 0.000) and Pd at (0.250, 0.000, 0.250).

(2)
## LaMgPd (PBE)

Data for LaMgPd after structural relaxation.

The calculated formation energy comes out at -0.6565 eV per atom. The value obtained for the density of states at the Fermi level is 0.74 states/eV/atom. For the total magnetization, the calculation gives 0.00 Bohr magnetons per cell.

The structure belongs to space group Pnma (No. 62); the cell edges are 7.476, 4.351 and 8.873 Å and the angles 90.00°, 90.00° and 90.00°. The distinct sites, in fractional coordinates, are La at (0.044, 0.250, 0.182), Mg at (0.132, 0.250, 0.559) and Pd at (0.248, 0.750, 0.379).

(3)
## LaMg3Pd (PBE)

Data for LaMg3Pd after structural relaxation.

The calculated formation energy comes out at -0.3014 eV per atom. The value obtained for the density of states at the Fermi level is 1.17 states/eV/atom. The value obtained for the offset from the most stable computed form is 95 meV per atom. For the total magnetization, the calculation gives 0.00 Bohr magnetons per cell.

The structure belongs to space group Pm-3m (No. 221); the cell edges are 5.025, 5.025 and 5.025 Å and the angles 90.00°, 90.00° and 90.00°. The distinct sites, in fractional coordinates, are La at (0.000, 0.000, 0.000), Mg at (0.000, 0.500, 0.500) and Pd at (0.500, 0.500, 0.500).

Question: Look up the calculated formation energy of the second one.
Answer: -0.6565 eV per atom

Question: Which formula does entry 2 have?
Answer: LaMgPd

Please write out number 1 again, unchanged.
## LaMg10Pd2 (PBE)

Data for LaMg10Pd2 after structural relaxation.

The calculated formation energy comes out at -0.2777 eV per atom. The value obtained for the density of states at the Fermi level is 0.54 states/eV/atom. For the total magnetization, the calculation gives 0.00 Bohr magnetons per cell.

The structure belongs to space group Fmmm (No. 69); the cell edges are 5.734, 13.785 and 14.578 Å and the angles 90.00°, 90.00° and 90.00°. The distinct sites, in fractional coordinates, are La at (0.000, 0.000, 0.000), Mg at (0.000, 0.103, 0.382), Mg at (0.000, 0.160, 0.181), Mg at (0.250, 0.250, 0.000) and Pd at (0.250, 0.000, 0.250).